A plane-wave DFT calculation with PBE was carried out for a relaxed CePm3Nd2N6 crystal.

Properties
Formation energy without anion corrections   -1667 kJ/mol of formula units
Energy   -8.079 eV/atom

a = 15.722 Å, b = 3.619 Å, c = 7.237 Å
α = 90.00°, β = 103.27°, γ = 90.00°
Space group C2/m (No. 12)
Symmetry-distinct sites (fractional):
Ce (0.000, 0.000, 0.000) x2
Pm (0.000, 0.000, 0.500) x2
Pm (0.166, 0.500, 0.832) x4
Nd (0.167, 0.500, 0.334) x4
N (0.001, 0.500, 0.761) x4
N (0.160, 0.000, 0.077) x4
N (0.165, 0.000, 0.585) x4